Entry 1:
Ce2Sm2SiIr4 PBE optimized geometry; magnetization = 0.034 μB per atom; uncorrected formation energy = -0.429 eV per atom; crystal system = tetragonal
1.0
-4.6525 -0.9403 -4.4324
-1.2571 -0.3712 6.3606
2.4700 5.9013 1.1178
Ce Sm Si Ir
2 2 1 4
direct
0.0000 0.6917 0.6917
0.0000 0.3083 0.3083
0.5000 0.7500 0.2500
0.5000 0.2500 0.7500
0.0000 0.0000 0.0000
0.0000 0.7391 0.2609
0.4782 0.7391 0.7391
0.0000 0.2609 0.7391
0.5218 0.2609 0.2609

Entry 2:
Ca2PdPtAu6 PBE optimized geometry; magnetization = 0.000 μB per atom; calculated formation energy = -50 meV per atom; crystal system = cubic
1.0
7.1970 -0.0004 0.0000
0.0005 7.1970 0.0000
3.5987 3.5983 5.0891
Ca Pd Pt Au
2 1 1 6
direct
0.2500 0.7500 0.5000
0.7500 0.2500 0.5000
0.5000 0.5000 0.0000
0.0000 0.0000 0.0000
0.2508 0.7492 0.0000
0.7492 0.7492 0.0000
0.2508 0.2508 0.4985
0.7492 0.2508 0.0000
0.2508 0.2508 0.0000
0.7492 0.7492 0.5015

Entry 3:
BaIrCl PBE optimized geometry; magnetization = 0.000 μB per atom; uncorrected formation energy = -1.186 eV per atom; crystal system = monoclinic; ΔE to the lowest computed polymorph = 0.0 meV per atom
1.0
-3.9199 0.0218 -2.0277
-0.4148 -1.5540 -4.0183
-3.3590 -9.5734 6.3846
Ir Ba Cl
2 2 2
direct
0.7545 0.5977 0.9063
0.4005 0.3058 0.9048
0.0066 0.0935 0.1182
0.1484 0.8103 0.6929
0.2966 0.5133 0.2618
0.8585 0.3904 0.5493

Entry 4:
TbBiSe2O PBE optimized geometry; magnetization = 0.000 μB per atom; uncorrected formation energy = -1.695 eV per atom; crystal system = tetragonal
1.0
4.0228 0.0000 0.0000
0.0000 4.0228 0.0000
0.0000 0.0000 15.0252
Tb Bi Se O
2 2 4 2
direct
0.5000 0.0000 0.5731
0.0000 0.5000 0.4269
0.5000 0.0000 0.1433
0.0000 0.5000 0.8567
0.0000 0.5000 0.6784
0.0000 0.5000 0.0973
0.5000 0.0000 0.9027
0.5000 0.0000 0.3216
0.0000 0.0000 0.5000
0.5000 0.5000 0.5000

Entry 5:
Tb4Pm2Ho PBE optimized geometry; magnetization = 0.000 μB per atom; calculated formation energy = 133 meV per atom; crystal system = monoclinic; ΔE to the lowest computed polymorph = 83.1 meV per atom
1.0
6.1007 0.0000 -0.2568
0.0000 6.6297 0.0000
-2.3223 0.0000 11.3872
Tb Pm Ho
8 4 2
direct
0.6477 0.5063 0.2876
0.0199 0.7500 0.8540
0.9801 0.2500 0.1460
0.6477 0.9937 0.2876
0.8495 0.2500 0.5560
0.3523 0.0063 0.7124
0.3523 0.4937 0.7124
0.1505 0.7500 0.4440
0.6003 0.7500 0.9944
0.3997 0.2500 0.0056
0.2877 0.2500 0.4292
0.7123 0.7500 0.5708
0.1455 0.7500 0.1567
0.8545 0.2500 0.8433